No. 1
Crystalline PmPuAlGa at its relaxed geometry. Source: the Alexandria database, functional PBE.

## Properties
ρ: 8.4 g/cm³
magnetization: 5.54 μB/f.u.
calculated total energy: -107.9 eV per cell

abc: 7.280 7.280 7.280
angles: 90.00 90.00 90.00
Fractional positions:
Pm1 0.000 0.000 0.000
Pm2 0.000 0.500 0.500
Pm3 0.500 0.000 0.500
Pm4 0.500 0.500 0.000
Pu1 0.000 0.000 0.500
Pu2 0.000 0.500 0.000
Pu3 0.500 0.000 0.000
Pu4 0.500 0.500 0.500
Al1 0.250 0.250 0.250
Al2 0.250 0.750 0.750
Al3 0.750 0.250 0.750
Al4 0.750 0.750 0.250
Ga1 0.250 0.250 0.750
Ga2 0.250 0.750 0.250
Ga3 0.750 0.250 0.250
Ga4 0.750 0.750 0.750

No. 2
Crystalline ScTl at its relaxed geometry. Source: the Alexandria database, functional PBE.

## Properties
ρ: 8.1 g/cm³
magnetization: 0.00 μB/f.u.
calculated total energy: -17.6 eV per cell

abc: 3.401 3.401 10.255
angles: 90.00 90.00 120.00
Fractional positions:
Sc1 0.333 0.667 0.120
Sc2 0.667 0.333 0.880
Tl1 0.333 0.667 0.632
Tl2 0.667 0.333 0.368

No. 3
Crystalline PrNdTl at its relaxed geometry. Source: the Alexandria database, functional PBE.

## Properties
ρ: 8.2 g/cm³
distance to the lowest polymorph of the same formula: 23 meV per atom
magnetization: 0.06 μB/f.u.
calculated total energy: -25.3 eV per cell

abc: 4.584 4.856 8.867
angles: 90.00 90.00 90.00
Fractional positions:
Pr1 0.250 0.250 0.138
Pr2 0.750 0.750 0.862
Nd1 0.250 0.750 0.534
Nd2 0.750 0.250 0.466
Tl1 0.250 0.250 0.772
Tl2 0.750 0.750 0.228

No. 4
Crystalline ZrBeSCl2 at its relaxed geometry. Source: the Alexandria database, functional PBE.

## Properties
ρ: 2.6 g/cm³
distance to the lowest polymorph of the same formula: 8 meV per atom
magnetization: 0.13 μB/f.u.
E_form (uncorrected): -41.22 kJ/mol of atoms
calculated total energy: -22.2 eV per cell

abc: 5.102 5.102 4.952
angles: 90.00 90.00 90.00
Fractional positions:
Zr1 0.000 0.000 0.000
Be1 0.500 0.500 0.500
S1 0.000 0.000 0.500
Cl1 0.000 0.500 0.000
Cl2 0.500 0.000 0.000